[1]
{"formula": "LiCuRh", "functional": "PBE", "state": "optimized geometry", "energy_ev_per_atom": -4.495, "mass_density_g_cm3": 7.44, "ef_mev_per_atom": -42, "polymorph_energy_ev_per_fu": 0.00, "dos_ef_per_ev_cell": 1.34, "lattice": [[-3.3821, -1.1532, -2.2406], [2.4669, -2.9354, 1.7568], [-1.4034, 0.0676, 2.0837]], "species": ["Rh", "Li", "Cu"], "fractional_positions": [[0.3333, 0.6667, 0.6558], [0.6667, 0.3333, 0.2243], [0.0000, 0.0000, 0.1199]]}

[2]
{"formula": "Sm3In2Ag2", "functional": "PBE", "state": "optimized geometry", "energy_ev_per_atom": -4.008, "mass_density_g_cm3": 8.22, "ef_mev_per_atom": -389, "dos_ef_per_ev_cell": 6.36, "lattice": [[-1.6585, -1.2186, -4.1108], [2.8493, -2.0278, -0.5484], [-6.0702, -9.2371, 2.6167]], "species": ["Ag", "Ag", "Sm", "Sm", "Sm", "In", "In"], "fractional_positions": [[0.2857, 0.5000, 0.4286], [0.7143, 0.5000, 0.5714], [0.0000, 0.0000, 0.0000], [0.8405, 0.0000, 0.3190], [0.1595, 0.0000, 0.6810], [0.4217, 0.5000, 0.1566], [0.5783, 0.5000, 0.8434]]}

[3]
{"formula": "BaTb2Cd9", "functional": "PBE", "state": "optimized geometry", "energy_ev_per_atom": -1.866, "mass_density_g_cm3": 7.88, "ef_mev_per_atom": -248, "dos_ef_per_ev_cell": 8.42, "lattice": [[-2.9590, -2.8177, 4.5379], [-0.5696, -6.0796, -0.0379], [7.0298, -3.7648, 6.3546]], "species": ["Cd", "Cd", "Cd", "Cd", "Cd", "Cd", "Cd", "Cd", "Cd", "Tb", "Tb", "Ba"], "fractional_positions": [[0.9233, 0.4079, 0.2608], [0.6639, 0.6639, 0.0082], [0.4079, 0.4079, 0.2608], [0.5000, 0.5000, 0.5000], [0.5921, 0.0767, 0.7392], [0.5921, 0.5921, 0.7392], [0.0767, 0.5921, 0.7392], [0.3361, 0.3361, 0.9918], [0.4079, 0.9233, 0.2608], [0.1471, 0.1471, 0.5588], [0.8529, 0.8529, 0.4412], [0.0000, 0.0000, 0.0000]]}

[4]
{"formula": "Y3Ge3Pt2", "functional": "PBE", "state": "optimized geometry", "energy_ev_per_atom": -6.753, "mass_density_g_cm3": 8.78, "ef_mev_per_atom": -1087, "dos_ef_per_ev_cell": 4.24, "lattice": [[-0.0521, 4.2817, 0.7942], [-4.2240, -2.7545, 2.6321], [8.5066, -2.0339, 11.5226]], "species": ["Ge", "Ge", "Ge", "Ge", "Ge", "Ge", "Pt", "Pt", "Pt", "Pt", "Y", "Y", "Y", "Y", "Y", "Y"], "fractional_positions": [[0.3826, 0.7653, 0.5339], [0.6588, 0.3175, 0.7500], [0.6174, 0.2347, 0.0339], [0.3412, 0.6825, 0.2500], [0.3826, 0.7653, 0.9661], [0.6174, 0.2347, 0.4661], [0.1935, 0.3870, 0.1049], [0.8065, 0.6130, 0.6049], [0.1935, 0.3870, 0.3951], [0.8065, 0.6130, 0.8951], [0.3673, 0.7346, 0.7500], [0.9084, 0.8168, 0.1097], [0.0916, 0.1832, 0.8903], [0.6327, 0.2653, 0.2500], [0.9084, 0.8168, 0.3903], [0.0916, 0.1832, 0.6097]]}

[5]
{"formula": "Zr2SiBr", "functional": "PBE", "state": "optimized geometry", "energy_ev_per_atom": -6.433, "mass_density_g_cm3": 6.12, "e_form_raw_ev_per_atom": -0.385, "polymorph_energy_ev_per_fu": 1.03, "dos_ef_per_ev_cell": 2.96, "lattice": [[-5.0746, 1.4550, -1.0679], [-4.2678, -0.7807, -3.1915], [-1.6295, -3.4071, 2.9678]], "species": ["Si", "Zr", "Zr", "Br"], "fractional_positions": [[0.2739, 0.2739, 0.1261], [0.7429, 0.7429, 0.6267], [0.0048, 0.0048, 0.1236], [0.4784, 0.4784, 0.6236]]}

[6]
{"formula": "PmErGe2Pd2", "functional": "PBE", "state": "optimized geometry", "energy_ev_per_atom": -5.754, "mass_density_g_cm3": 9.09, "ef_mev_per_atom": -932, "dos_ef_per_ev_cell": 4.47, "lattice": [[-2.4912, -3.1297, 1.9353], [0.1473, 0.2973, -4.4313], [5.5668, -4.5036, -0.1171]], "species": ["Ge", "Ge", "Pm", "Pd", "Pd", "Er"], "fractional_positions": [[0.3333, 0.6667, 0.2643], [0.6667, 0.3333, 0.7357], [0.0000, 0.0000, 0.0000], [0.3333, 0.6667, 0.7105], [0.6667, 0.3333, 0.2895], [0.0000, 0.0000, 0.5000]]}

[7]
{"formula": "Ca2InSnH", "functional": "PBE", "state": "optimized geometry", "energy_ev_per_atom": -3.237, "mass_density_g_cm3": 4.62, "polymorph_energy_ev_per_fu": 0.00, "dos_ef_per_ev_cell": 1.43, "lattice": [[-0.2484, -2.7600, 4.0320], [4.8606, -0.5516, -0.0782], [0.4813, 3.8624, 2.6735]], "species": ["Ca", "Ca", "In", "H", "Sn"], "fractional_positions": [[0.5000, 0.0000, 0.0000], [0.0000, 0.5000, 0.0000], [0.0000, 0.0000, 0.5000], [0.0000, 0.0000, 0.0000], [0.5000, 0.5000, 0.5000]]}

[8]
{"formula": "TlSbTe2Br", "functional": "PBE", "state": "optimized geometry", "energy_ev_per_atom": -2.333, "mass_density_g_cm3": 5.76, "e_form_raw_ev_per_atom": 0.556, "polymorph_energy_ev_per_fu": 0.00, "dos_ef_per_ev_cell": 5.17, "lattice": [[-2.1077, -4.0472, -3.6603], [1.9676, -4.2236, 3.5370], [-4.8451, 0.0412, 2.7444]], "species": ["Sb", "Br", "Te", "Te", "Tl"], "fractional_positions": [[0.0000, 0.0000, 0.5000], [0.0000, 0.0000, 0.0000], [0.5000, 0.0000, 0.0000], [0.0000, 0.5000, 0.0000], [0.5000, 0.5000, 0.5000]]}